Record 1
VASP calculation (PBE) on Er2U2Ni15 after structural relaxation.

Computed properties:
* DOS at the Fermi energy: 1.341 states/eV per atom
* DFT total energy: -6.50 eV per atom

Cell and atoms, written as POSCAR:
```
Er2U2Ni15
1.0
4.203 2.427 4.233
-4.203 2.427 4.233
0.000 -4.854 4.233
Er U Ni
2 2 15
direct
0.140 0.140 0.140
0.860 0.860 0.860
0.402 0.402 0.402
0.598 0.598 0.598
0.000 0.500 0.500
0.157 0.157 0.662
0.157 0.662 0.157
0.184 0.500 0.816
0.184 0.816 0.500
0.338 0.843 0.843
0.500 0.000 0.500
0.500 0.184 0.816
0.500 0.500 0.000
0.500 0.816 0.184
0.662 0.157 0.157
0.816 0.184 0.500
0.816 0.500 0.184
0.843 0.338 0.843
0.843 0.843 0.338
```

***

Record 2
VASP calculation (PBE) on LiHoPb after structural relaxation.

Computed properties:
* DFT total energy: -3.70 eV per atom

Cell and atoms, written as POSCAR:
```
LiHoPb
1.0
0.000 3.515 3.515
3.515 0.000 3.515
3.515 3.515 0.000
Li Ho Pb
1 1 1
direct
0.000 0.000 0.000
0.500 0.500 0.500
0.250 0.250 0.250
```

***

Record 3
VASP calculation (PBE) on Rb3NbPt after structural relaxation.

Computed properties:
* DOS at the Fermi energy: 1.577 states/eV per atom
* DFT total energy: -2.67 eV per atom

Cell and atoms, written as POSCAR:
```
Rb3NbPt
1.0
6.411 0.000 0.000
0.000 6.411 0.000
0.000 0.000 6.411
Rb Nb Pt
3 1 1
direct
0.000 0.000 0.500
0.000 0.500 0.000
0.500 0.000 0.000
0.500 0.500 0.500
0.000 0.000 0.000
```

***

Record 4
VASP calculation (PBE) on KPdSe after structural relaxation.

Computed properties:
* DOS at the Fermi energy: 0.053 states/eV per atom
* formation energy (no corrections): -0.6976 eV per atom

Cell and atoms, written as POSCAR:
```
KPdSe
1.0
6.621 0.000 0.000
0.000 7.895 0.000
-4.677 0.000 6.536
K Pd Se
4 4 4
direct
0.162 0.064 0.342
0.162 0.436 0.842
0.838 0.564 0.158
0.838 0.936 0.658
0.464 0.610 0.361
0.464 0.890 0.861
0.536 0.110 0.139
0.536 0.390 0.639
0.353 0.673 0.605
0.353 0.827 0.105
0.647 0.173 0.895
0.647 0.327 0.395
```

***

Record 5
VASP calculation (PBE) on YPuMgZn after structural relaxation.

Computed properties:
* DOS at the Fermi energy: 1.705 states/eV per atom
* DFT total energy: -5.92 eV per atom

Cell and atoms, written as POSCAR:
```
YPuMgZn
1.0
0.000 3.676 3.676
3.676 0.000 3.676
3.676 3.676 0.000
Y Pu Mg Zn
1 1 1 1
direct
0.000 0.000 0.000
0.500 0.500 0.500
0.250 0.250 0.250
0.750 0.750 0.750
```

***

Record 6
VASP calculation (PBE) on MgScCdCu after structural relaxation.

Computed properties:
* DOS at the Fermi energy: 0.301 states/eV per atom
* DFT total energy: -3.44 eV per atom

Cell and atoms, written as POSCAR:
```
MgScCdCu
1.0
0.000 3.352 3.352
3.352 0.000 3.352
3.352 3.352 0.000
Mg Sc Cd Cu
1 1 1 1
direct
0.000 0.000 0.000
0.500 0.500 0.500
0.750 0.750 0.750
0.250 0.250 0.250
```

***

Record 7
VASP calculation (PBE) on Cs2BiAu after structural relaxation.

Computed properties:
* DFT total energy: -2.62 eV per atom

Cell and atoms, written as POSCAR:
```
Cs2BiAu
1.0
6.888 0.000 0.000
0.000 5.224 0.000
-1.488 0.000 10.945
Cs Bi Au
4 2 2
direct
0.224 0.250 0.412
0.273 0.750 0.059
0.727 0.250 0.941
0.776 0.750 0.588
0.196 0.250 0.764
0.804 0.750 0.236
0.316 0.750 0.726
0.684 0.250 0.274
```

***

Record 8
VASP calculation (PBE) on EuMgPt2 after structural relaxation.

Computed properties:
* DOS at the Fermi energy: 2.748 states/eV per atom
* DFT total energy: -6.78 eV per atom

Cell and atoms, written as POSCAR:
```
EuMgPt2
1.0
3.367 0.000 0.000
0.000 3.367 0.000
0.000 0.000 6.885
Eu Mg Pt
1 1 2
direct
0.000 0.000 0.000
0.000 0.000 0.500
0.500 0.500 0.289
0.500 0.500 0.711
```

***

One value per record, in order, for total magnetic moment: 2.13 0.00 4.92 0.00 6.27 0.00 0.00 6.82 μB per formula unit.